(1)
# KAgOs2O8

Crystalline KAgOs2O8 at its relaxed geometry (PBE, the Alexandria database).

a = 6.624 Å, b = 6.624 Å, c = 6.624 Å
α = 107.45°, β = 107.45°, γ = 113.60°
Atoms (fractional coordinates):
O  0.467  0.646  0.821
O  0.354  0.175  0.821
O  0.791  0.107  0.683
O  0.893  0.209  0.317
O  0.893  0.576  0.683
O  0.825  0.646  0.179
O  0.354  0.533  0.179
O  0.424  0.107  0.317
Os  0.500  0.500  0.000
Os  0.750  0.250  0.500
K  0.250  0.750  0.500
Ag  0.000  0.000  0.000

Calculated values
total magnetization: 2.07 μB/f.u.
electronic total energy: -77.3 eV/cell
calculated volume: 222.89 Å³/cell

(2)
# NaSiH

Crystalline NaSiH at its relaxed geometry (PBE, the Alexandria database).

a = 4.771 Å, b = 5.444 Å, c = 6.914 Å
α = 113.19°, β = 133.53°, γ = 90.00°
Atoms (fractional coordinates):
H  0.339  0.294  0.588
H  0.661  0.706  0.412
Na  0.579  0.164  0.329
Na  0.421  0.836  0.671
Si  0.293  0.522  0.043
Si  0.707  0.478  0.957

Calculated values
total magnetization: 0.00 μB/f.u.
electronic total energy: -19.7 eV/cell
calculated volume: 109.32 Å³/cell
offset from the most stable computed form: 0 meV/atom

(3)
# Li4Mg3In4

Crystalline Li4Mg3In4 at its relaxed geometry (PBE, the Alexandria database).

a = 3.254 Å, b = 4.143 Å, c = 17.366 Å
α = 96.80°, β = 95.38°, γ = 89.91°
Atoms (fractional coordinates):
In  0.811  0.816  0.629
In  0.448  0.452  0.900
In  0.189  0.184  0.371
In  0.552  0.548  0.100
Li  0.096  0.091  0.184
Li  0.904  0.909  0.816
Li  0.270  0.273  0.544
Li  0.730  0.728  0.456
Mg  0.645  0.638  0.279
Mg  0.355  0.362  0.721
Mg  0.000  0.000  0.000

Calculated values
total magnetization: 0.00 μB/f.u.
electronic total energy: -25.5 eV/cell
calculated volume: 231.42 Å³/cell
offset from the most stable computed form: 0 meV/atom

(4)
# Tm12Sb2Pb5

Crystalline Tm12Sb2Pb5 at its relaxed geometry (PBE, the Alexandria database).

a = 8.808 Å, b = 9.199 Å, c = 8.280 Å
α = 103.09°, β = 90.00°, γ = 118.60°
Atoms (fractional coordinates):
Tm  0.116  0.633  0.825
Tm  0.113  0.225  0.853
Tm  0.816  0.230  0.541
Tm  0.184  0.770  0.459
Tm  0.884  0.367  0.175
Tm  0.510  0.020  0.799
Tm  0.482  0.367  0.175
Tm  0.586  0.770  0.459
Tm  0.414  0.230  0.541
Tm  0.518  0.633  0.825
Tm  0.887  0.775  0.147
Tm  0.490  0.980  0.201
Sb  0.787  0.000  0.000
Sb  0.213  0.000  0.000
Pb  0.211  0.423  0.500
Pb  0.290  0.580  0.127
Pb  0.000  0.000  0.500
Pb  0.789  0.577  0.500
Pb  0.710  0.420  0.873

Calculated values
total magnetization: 0.00 μB/f.u.
electronic total energy: -86.5 eV/cell
calculated volume: 569.10 Å³/cell

(5)
# NaUCuBr6

Crystalline NaUCuBr6 at its relaxed geometry (PBE, the Alexandria database).

a = 6.776 Å, b = 6.776 Å, c = 12.298 Å
α = 90.00°, β = 90.00°, γ = 90.00°
Atoms (fractional coordinates):
Br  0.206  0.794  0.179
Br  0.794  0.206  0.179
Br  0.691  0.691  0.992
Br  0.706  0.706  0.679
Br  0.290  0.290  0.322
Br  0.191  0.809  0.492
Br  0.294  0.294  0.679
Br  0.809  0.191  0.492
Br  0.309  0.309  0.992
Br  0.210  0.790  0.822
Br  0.710  0.710  0.322
Br  0.790  0.210  0.822
Na  0.000  0.000  0.003
Na  0.500  0.500  0.503
Cu  0.500  0.500  0.847
Cu  0.000  0.000  0.347
U  0.500  0.500  0.165
U  0.000  0.000  0.665

Calculated values
total magnetization: 2.00 μB/f.u.
electronic total energy: -72.8 eV/cell
calculated volume: 564.72 Å³/cell

(6)
# AcTmSb2

Crystalline AcTmSb2 at its relaxed geometry (PBE, the Alexandria database).

a = 4.540 Å, b = 4.540 Å, c = 15.032 Å
α = 90.00°, β = 90.00°, γ = 120.00°
Atoms (fractional coordinates):
Sb  0.333  0.667  0.390
Sb  0.667  0.333  0.890
Sb  0.667  0.333  0.610
Sb  0.333  0.667  0.110
Ac  0.333  0.667  0.750
Ac  0.667  0.333  0.250
Tm  0.000  0.000  0.500
Tm  0.000  0.000  0.000

Calculated values
total magnetization: 0.00 μB/f.u.
electronic total energy: -42.3 eV/cell
calculated volume: 268.34 Å³/cell
offset from the most stable computed form: 32 meV/atom

(7)
# RbAuI3

Crystalline RbAuI3 at its relaxed geometry (PBE, the Alexandria database).

a = 5.814 Å, b = 9.133 Å, c = 9.447 Å
α = 90.00°, β = 78.80°, γ = 90.00°
Atoms (fractional coordinates):
Rb  0.167  0.250  0.867
Rb  0.833  0.750  0.133
I  0.707  0.039  0.734
I  0.801  0.250  0.244
I  0.293  0.539  0.266
I  0.707  0.461  0.734
I  0.293  0.961  0.266
I  0.199  0.750  0.756
Au  0.298  0.250  0.255
Au  0.702  0.750  0.745

Calculated values
total magnetization: 0.00 μB/f.u.
electronic total energy: -23.9 eV/cell
calculated volume: 492.16 Å³/cell

(8)
# La4Pr7In

Crystalline La4Pr7In at its relaxed geometry (PBE, the Alexandria database).

a = 6.172 Å, b = 8.828 Å, c = 9.998 Å
α = 61.01°, β = 72.02°, γ = 69.54°
Atoms (fractional coordinates):
Pr  0.723  0.452  0.101
Pr  0.843  0.970  0.344
Pr  0.066  0.591  0.277
Pr  0.500  0.000  0.000
Pr  0.157  0.030  0.656
Pr  0.934  0.409  0.723
Pr  0.277  0.548  0.899
La  0.405  0.702  0.488
La  0.595  0.298  0.512
La  0.274  0.177  0.274
La  0.726  0.823  0.726
In  0.000  0.000  0.000

Calculated values
total magnetization: 0.00 μB/f.u.
electronic total energy: -54.7 eV/cell
calculated volume: 439.92 Å³/cell

(9)
# CaRe

Crystalline CaRe at its relaxed geometry (PBE, the Alexandria database).

a = 2.782 Å, b = 2.782 Å, c = 5.057 Å
α = 90.00°, β = 90.00°, γ = 102.46°
Atoms (fractional coordinates):
Ca  0.000  0.000  0.000
Re  0.500  0.500  0.500

Calculated values
total magnetization: 0.00 μB/f.u.
electronic total energy: -12.8 eV/cell
calculated volume: 38.21 Å³/cell
offset from the most stable computed form: 506 meV/atom

(10)
# Ca2ReMo

Crystalline Ca2ReMo at its relaxed geometry (PBE, the Alexandria database).

a = 5.807 Å, b = 5.807 Å, c = 5.807 Å
α = 140.23°, β = 140.23°, γ = 57.51°
Atoms (fractional coordinates):
Re  0.750  0.250  0.500
Mo  0.250  0.750  0.500
Ca  0.500  0.500  0.000
Ca  0.000  0.000  0.000

Calculated values
total magnetization: 0.00 μB/f.u.
electronic total energy: -24.1 eV/cell
calculated volume: 79.47 Å³/cell
offset from the most stable computed form: 481 meV/atom

(11)
# Pb3ICl

Crystalline Pb3ICl at its relaxed geometry (PBE, the Alexandria database).

a = 5.769 Å, b = 5.769 Å, c = 5.769 Å
α = 90.00°, β = 90.00°, γ = 90.00°
Atoms (fractional coordinates):
Pb  0.000  0.500  0.000
Pb  0.000  0.000  0.500
Pb  0.500  0.000  0.000
I  0.500  0.500  0.500
Cl  0.000  0.000  0.000

Calculated values
total magnetization: 1.88 μB/f.u.
electronic total energy: -13.3 eV/cell
calculated volume: 192.01 Å³/cell
offset from the most stable computed form: 0 meV/atom

(12)
# Pr3Sm2Dy8

Crystalline Pr3Sm2Dy8 at its relaxed geometry (PBE, the Alexandria database).

a = 5.666 Å, b = 7.726 Å, c = 10.902 Å
α = 110.75°, β = 90.01°, γ = 90.00°
Atoms (fractional coordinates):
Pr  0.000  0.293  0.000
Pr  0.500  0.000  0.000
Pr  0.000  0.707  0.000
Dy  0.500  0.399  0.217
Dy  0.000  0.669  0.338
Dy  0.500  0.182  0.783
Dy  0.500  0.818  0.217
Dy  0.000  0.135  0.269
Dy  0.500  0.601  0.783
Dy  0.000  0.865  0.731
Dy  0.000  0.331  0.662
Sm  0.500  0.758  0.517
Sm  0.500  0.242  0.483

Calculated values
total magnetization: 0.00 μB/f.u.
electronic total energy: -57.4 eV/cell
calculated volume: 446.27 Å³/cell
offset from the most stable computed form: 231 meV/atom